DFT (PBE) results for a relaxed structure of CaSeCl.

```
data_CaSeCl
_chemical_formula_sum 'Ca1 Se1 Cl1'
_cell_length_a 7.7158
_cell_length_b 7.7157
_cell_length_c 3.3974
_cell_angle_alpha 77.28
_cell_angle_beta 77.28
_cell_angle_gamma 25.44
_space_group_name_H-M_alt 'P 1'
_space_group_IT_number 1
loop_
_space_group_symop_operation_xyz
'x,y,z'
loop_
_atom_site_label
_atom_site_type_symbol
_atom_site_fract_x
_atom_site_fract_y
_atom_site_fract_z
Se1 Se 0.6261 0.6260 0.3739
Cl1 Cl 0.3862 0.3860 0.6138
Ca1 Ca 0.9877 0.9880 0.0123
```

Energy above the lowest structure with this stoichiometry   326 meV per atom
Final energy   -11.64 eV per cell
Total magnetization   0.0 μB/f.u.
Formation energy (no corrections)   -33.1 kcal/mol of atoms

DFT (PBE) results for a relaxed structure of CaSeCl2.

```
data_CaSeCl2
_chemical_formula_sum 'Ca2 Se2 Cl4'
_cell_length_a 8.8307
_cell_length_b 8.8307
_cell_length_c 7.0113
_cell_angle_alpha 50.97
_cell_angle_beta 50.97
_cell_angle_gamma 90.00
_space_group_name_H-M_alt 'P 1'
_space_group_IT_number 1
loop_
_space_group_symop_operation_xyz
'x,y,z'
loop_
_atom_site_label
_atom_site_type_symbol
_atom_site_fract_x
_atom_site_fract_y
_atom_site_fract_z
Se1 Se 0.7500 0.2500 0.5000
Se2 Se 0.0000 0.0000 0.0000
Cl1 Cl 0.3750 0.4748 0.7500
Cl2 Cl 0.8750 0.7752 0.7500
Cl3 Cl 0.2248 0.6250 0.2500
Cl4 Cl 0.5252 0.1250 0.2500
Ca1 Ca 0.5000 0.5000 0.0000
Ca2 Ca 0.2500 0.7500 0.5000
```

Energy above the lowest structure with this stoichiometry   273 meV per atom
Final energy   -27.44 eV per cell
Total magnetization   2.0 μB/f.u.
Formation energy (no corrections)   -26.2 kcal/mol of atoms

DFT (PBE) results for a relaxed structure of CaSeCl2.

```
data_CaSeCl2
_chemical_formula_sum 'Ca1 Se1 Cl2'
_cell_length_a 3.7835
_cell_length_b 5.6349
_cell_length_c 4.2824
_cell_angle_alpha 90.00
_cell_angle_beta 90.00
_cell_angle_gamma 90.00
_space_group_name_H-M_alt 'P 1'
_space_group_IT_number 1
loop_
_space_group_symop_operation_xyz
'x,y,z'
loop_
_atom_site_label
_atom_site_type_symbol
_atom_site_fract_x
_atom_site_fract_y
_atom_site_fract_z
Cl1 Cl 0.5000 0.5000 0.0000
Cl2 Cl 0.0000 0.0000 0.0000
Ca1 Ca 0.0000 0.5000 0.5000
Se1 Se 0.5000 0.0000 0.5000
```

Energy above the lowest structure with this stoichiometry   267 meV per atom
Final energy   -13.75 eV per cell
Total magnetization   0.0 μB/f.u.
Formation energy (no corrections)   -26.3 kcal/mol of atoms

DFT (PBE) results for a relaxed structure of CaSeCl2.

```
data_CaSeCl2
_chemical_formula_sum 'Ca1 Se1 Cl2'
_cell_length_a 4.4039
_cell_length_b 5.2634
_cell_length_c 6.5507
_cell_angle_alpha 52.11
_cell_angle_beta 90.00
_cell_angle_gamma 90.00
_space_group_name_H-M_alt 'P 1'
_space_group_IT_number 1
loop_
_space_group_symop_operation_xyz
'x,y,z'
loop_
_atom_site_label
_atom_site_type_symbol
_atom_site_fract_x
_atom_site_fract_y
_atom_site_fract_z
Cl1 Cl 0.0000 0.9926 0.9028
Cl2 Cl 0.5000 0.2318 0.2536
Ca1 Ca 0.5000 0.7429 0.7579
Se1 Se 0.0000 0.5327 0.5857
```

Energy above the lowest structure with this stoichiometry   71 meV per atom
Final energy   -14.53 eV per cell
Total magnetization   0.0 μB/f.u.
Formation energy (no corrections)   -30.8 kcal/mol of atoms

DFT (PBE) results for a relaxed structure of CaSeCl2.

```
data_CaSeCl2
_chemical_formula_sum 'Ca1 Se1 Cl2'
_cell_length_a 10.5767
_cell_length_b 10.5767
_cell_length_c 10.5767
_cell_angle_alpha 24.44
_cell_angle_beta 24.44
_cell_angle_gamma 24.44
_space_group_name_H-M_alt 'P 1'
_space_group_IT_number 1
loop_
_space_group_symop_operation_xyz
'x,y,z'
loop_
_atom_site_label
_atom_site_type_symbol
_atom_site_fract_x
_atom_site_fract_y
_atom_site_fract_z
Cl1 Cl 0.0797 0.0797 0.0797
Cl2 Cl 0.9203 0.9203 0.9203
Se1 Se 0.5000 0.5000 0.5000
Ca1 Ca 0.0000 0.0000 0.0000
```

Energy above the lowest structure with this stoichiometry   1042 meV per atom
Final energy   -10.65 eV per cell
Total magnetization   2.2 μB/f.u.
Formation energy (no corrections)   -8.5 kcal/mol of atoms

DFT (PBE) results for a relaxed structure of CaSe3Cl.

```
data_CaSe3Cl
_chemical_formula_sum 'Ca1 Se3 Cl1'
_cell_length_a 5.0397
_cell_length_b 5.0397
_cell_length_c 5.0397
_cell_angle_alpha 90.00
_cell_angle_beta 90.00
_cell_angle_gamma 90.00
_space_group_name_H-M_alt 'P 1'
_space_group_IT_number 1
loop_
_space_group_symop_operation_xyz
'x,y,z'
loop_
_atom_site_label
_atom_site_type_symbol
_atom_site_fract_x
_atom_site_fract_y
_atom_site_fract_z
Se1 Se 0.0000 0.0000 0.5000
Se2 Se 0.5000 0.0000 0.0000
Se3 Se 0.0000 0.5000 0.0000
Cl1 Cl 0.0000 0.0000 0.0000
Ca1 Ca 0.5000 0.5000 0.5000
```

Energy above the lowest structure with this stoichiometry   0 meV per atom
Final energy   -14.89 eV per cell
Total magnetization   0.0 μB/f.u.
Formation energy (no corrections)   -2.7 kcal/mol of atoms

DFT (PBE) results for a relaxed structure of CaSeCl.

```
data_CaSeCl
_chemical_formula_sum 'Ca2 Se2 Cl2'
_cell_length_a 5.2422
_cell_length_b 4.7426
_cell_length_c 7.8885
_cell_angle_alpha 82.03
_cell_angle_beta 90.00
_cell_angle_gamma 123.55
_space_group_name_H-M_alt 'P 1'
_space_group_IT_number 1
loop_
_space_group_symop_operation_xyz
'x,y,z'
loop_
_atom_site_label
_atom_site_type_symbol
_atom_site_fract_x
_atom_site_fract_y
_atom_site_fract_z
Ca1 Ca 0.2063 0.4126 0.7551
Ca2 Ca 0.7937 0.5874 0.2449
Cl1 Cl 0.8378 0.6756 0.8767
Cl2 Cl 0.1622 0.3244 0.1233
Se1 Se 0.4117 0.8235 0.3887
Se2 Se 0.5883 0.1765 0.6113
```

Energy above the lowest structure with this stoichiometry   0 meV per atom
Final energy   -25.24 eV per cell
Total magnetization   0.0 μB/f.u.
Formation energy (no corrections)   -40.7 kcal/mol of atoms

DFT (PBE) results for a relaxed structure of Ca2Se2Cl.

```
data_Ca2Se2Cl
_chemical_formula_sum 'Ca4 Se4 Cl2'
_cell_length_a 7.8479
_cell_length_b 7.8479
_cell_length_c 4.0810
_cell_angle_alpha 90.00
_cell_angle_beta 90.00
_cell_angle_gamma 90.00
_space_group_name_H-M_alt 'P 1'
_space_group_IT_number 1
loop_
_space_group_symop_operation_xyz
'x,y,z'
loop_
_atom_site_label
_atom_site_type_symbol
_atom_site_fract_x
_atom_site_fract_y
_atom_site_fract_z
Se1 Se 0.3727 0.1273 0.5000
Se2 Se 0.8727 0.3727 0.5000
Se3 Se 0.1273 0.6273 0.5000
Se4 Se 0.6273 0.8727 0.5000
Ca1 Ca 0.6735 0.1735 0.0000
Ca2 Ca 0.3265 0.8265 0.0000
Ca3 Ca 0.1735 0.3265 0.0000
Ca4 Ca 0.8265 0.6735 0.0000
Cl1 Cl 0.0000 0.0000 0.0000
Cl2 Cl 0.5000 0.5000 0.0000
```

Final energy   -42.46 eV per cell
Total magnetization   1.0 μB/f.u.
Formation energy (no corrections)   -38.8 kcal/mol of atoms

DFT (PBE) results for a relaxed structure of Ca3SeCl.

```
data_Ca3SeCl
_chemical_formula_sum 'Ca3 Se1 Cl1'
_cell_length_a 5.6755
_cell_length_b 5.6755
_cell_length_c 5.6755
_cell_angle_alpha 90.00
_cell_angle_beta 90.00
_cell_angle_gamma 90.00
_space_group_name_H-M_alt 'P 1'
_space_group_IT_number 1
loop_
_space_group_symop_operation_xyz
'x,y,z'
loop_
_atom_site_label
_atom_site_type_symbol
_atom_site_fract_x
_atom_site_fract_y
_atom_site_fract_z
Cl1 Cl 0.5000 0.5000 0.5000
Ca1 Ca 0.5000 0.0000 0.0000
Ca2 Ca 0.0000 0.5000 0.0000
Ca3 Ca 0.0000 0.0000 0.5000
Se1 Se 0.0000 0.0000 0.0000
```

Energy above the lowest structure with this stoichiometry   0 meV per atom
Final energy   -15.29 eV per cell
Total magnetization   1.2 μB/f.u.
Formation energy (no corrections)   -18.3 kcal/mol of atoms

DFT (PBE) results for a relaxed structure of CaSeCl.

```
data_CaSeCl
_chemical_formula_sum 'Ca1 Se1 Cl1'
_cell_length_a 4.9078
_cell_length_b 4.9078
_cell_length_c 4.9078
_cell_angle_alpha 60.00
_cell_angle_beta 60.00
_cell_angle_gamma 60.00
_space_group_name_H-M_alt 'P 1'
_space_group_IT_number 1
loop_
_space_group_symop_operation_xyz
'x,y,z'
loop_
_atom_site_label
_atom_site_type_symbol
_atom_site_fract_x
_atom_site_fract_y
_atom_site_fract_z
Ca1 Ca 0.7500 0.7500 0.7500
Cl1 Cl 0.0000 0.0000 0.0000
Se1 Se 0.5000 0.5000 0.5000
```

Energy above the lowest structure with this stoichiometry   416 meV per atom
Final energy   -11.37 eV per cell
Total magnetization   1.0 μB/f.u.
Formation energy (no corrections)   -31.1 kcal/mol of atoms

DFT (PBE) results for a relaxed structure of Ca4SeCl6.

```
data_Ca4SeCl6
_chemical_formula_sum 'Ca8 Se2 Cl12'
_cell_length_a 6.7211
_cell_length_b 9.4835
_cell_length_c 9.4835
_cell_angle_alpha 90.00
_cell_angle_beta 90.00
_cell_angle_gamma 90.00
_space_group_name_H-M_alt 'P 1'
_space_group_IT_number 1
loop_
_space_group_symop_operation_xyz
'x,y,z'
loop_
_atom_site_label
_atom_site_type_symbol
_atom_site_fract_x
_atom_site_fract_y
_atom_site_fract_z
Se1 Se 0.0000 0.5000 0.5000
Se2 Se 0.5000 0.0000 0.0000
Cl1 Cl 0.5557 0.0000 0.5000
Cl2 Cl 0.0000 0.7900 0.7900
Cl3 Cl 0.0000 0.7900 0.2100
Cl4 Cl 0.0000 0.2100 0.7900
Cl5 Cl 0.4443 0.5000 0.0000
Cl6 Cl 0.5000 0.7100 0.7100
Cl7 Cl 0.5000 0.2900 0.2900
Cl8 Cl 0.5000 0.7100 0.2900
Cl9 Cl 0.9443 0.5000 0.0000
Cl10 Cl 0.5000 0.2900 0.7100
Cl11 Cl 0.0000 0.2100 0.2100
Cl12 Cl 0.0557 0.0000 0.5000
Ca1 Ca 0.2965 0.0000 0.2604
Ca2 Ca 0.2035 0.5000 0.2396
Ca3 Ca 0.2035 0.5000 0.7604
Ca4 Ca 0.7965 0.7604 0.5000
Ca5 Ca 0.7035 0.7396 0.0000
Ca6 Ca 0.2965 0.0000 0.7396
Ca7 Ca 0.7965 0.2396 0.5000
Ca8 Ca 0.7035 0.2604 0.0000
```

Final energy   -95.17 eV per cell
Total magnetization   0.2 μB/f.u.
Formation energy (no corrections)   -52.4 kcal/mol of atoms

DFT (PBE) results for a relaxed structure of Ca4Se3Cl.

```
data_Ca4Se3Cl
_chemical_formula_sum 'Ca4 Se3 Cl1'
_cell_length_a 5.8910
_cell_length_b 5.8910
_cell_length_c 7.2267
_cell_angle_alpha 114.05
_cell_angle_beta 114.05
_cell_angle_gamma 90.00
_space_group_name_H-M_alt 'P 1'
_space_group_IT_number 1
loop_
_space_group_symop_operation_xyz
'x,y,z'
loop_
_atom_site_label
_atom_site_type_symbol
_atom_site_fract_x
_atom_site_fract_y
_atom_site_fract_z
Ca1 Ca 0.0000 0.5000 0.0000
Ca2 Ca 0.5000 0.0000 0.0000
Ca3 Ca 0.7444 0.7444 0.4889
Ca4 Ca 0.2556 0.2556 0.5111
Cl1 Cl 0.0000 0.0000 0.0000
Se1 Se 0.2500 0.7500 0.5000
Se2 Se 0.5000 0.5000 0.0000
Se3 Se 0.7500 0.2500 0.5000
```

Final energy   -35.66 eV per cell
Total magnetization   0.0 μB/f.u.
Formation energy (no corrections)   -44.3 kcal/mol of atoms

Q: The lowest final energy belongs to which entry?
A: Ca4SeCl6

Q: Which formula does entry 4 have?
A: CaSeCl2

Q: total magnetization of number 9 (Ca3SeCl)?
A: 1.2 μB/f.u.

Repeat the eighth record exactly.
DFT (PBE) results for a relaxed structure of Ca2Se2Cl.

```
data_Ca2Se2Cl
_chemical_formula_sum 'Ca4 Se4 Cl2'
_cell_length_a 7.8479
_cell_length_b 7.8479
_cell_length_c 4.0810
_cell_angle_alpha 90.00
_cell_angle_beta 90.00
_cell_angle_gamma 90.00
_space_group_name_H-M_alt 'P 1'
_space_group_IT_number 1
loop_
_space_group_symop_operation_xyz
'x,y,z'
loop_
_atom_site_label
_atom_site_type_symbol
_atom_site_fract_x
_atom_site_fract_y
_atom_site_fract_z
Se1 Se 0.3727 0.1273 0.5000
Se2 Se 0.8727 0.3727 0.5000
Se3 Se 0.1273 0.6273 0.5000
Se4 Se 0.6273 0.8727 0.5000
Ca1 Ca 0.6735 0.1735 0.0000
Ca2 Ca 0.3265 0.8265 0.0000
Ca3 Ca 0.1735 0.3265 0.0000
Ca4 Ca 0.8265 0.6735 0.0000
Cl1 Cl 0.0000 0.0000 0.0000
Cl2 Cl 0.5000 0.5000 0.0000
```

Final energy   -42.46 eV per cell
Total magnetization   1.0 μB/f.u.
Formation energy (no corrections)   -38.8 kcal/mol of atoms